The following is a DFT calculation (PBE) of a relaxed PrSm14Cd crystal.

The structure in POSCAR format:
```
PrSm14Cd
1.0
7.113 0.954 0.000
-0.955 7.113 0.000
0.000 0.000 10.221
Sm Pr Cd
14 1 1
Cartesian
2.545 1.245 0.000
4.101 3.253 2.525
0.040 6.353 2.532
0.521 2.773 2.529
5.626 5.278 5.111
2.071 4.803 5.111
3.621 6.834 7.693
4.101 3.253 7.696
6.105 1.723 5.111
0.040 6.353 7.690
3.621 6.834 2.529
0.521 2.773 7.693
5.628 5.284 0.000
2.550 1.248 5.111
2.070 4.804 0.000
6.104 1.724 0.000
```

The calculation puts the density of states at the Fermi level at 18.8 states/eV/cell. Its energy relative to the elements is -0.008 eV per atom. The volume is 32.91 A^3/atom.


The following is a DFT calculation (PBE) of a relaxed Ca2Zn5Ni2Ir crystal.

The structure in POSCAR format:
```
Ca2Zn5Ni2Ir
1.0
-3.561 0.596 -0.986
-1.574 -9.278 0.075
-2.431 0.486 9.078
Zn Ni Ir Ca
10 4 2 4
Cartesian
-3.821 0.153 6.792
-5.333 -6.684 8.122
-3.211 -3.659 2.282
-3.745 -8.348 1.376
-3.611 -2.232 4.592
-2.996 0.541 4.046
-4.355 -4.536 5.886
-3.954 -5.963 3.575
-2.232 -1.511 0.046
-2.567 -4.341 -0.455
-2.322 -8.009 3.546
-1.683 -0.783 5.607
-0.887 -3.499 1.088
-3.118 -5.292 8.065
0.000 0.000 0.000
-2.002 -4.396 4.577
-1.509 -6.223 1.687
-2.496 -2.568 7.466
-2.944 -7.275 6.237
-1.061 -1.517 2.917
```

The calculation puts the density of states at the Fermi level at 11.6 states/eV/cell. Its energy relative to the elements is -0.212 eV per atom. The volume is 16.57 A^3/atom.


| no. | theoretical density (g cm⁻³) |
| --- | --- |
| 1 | 7.44 |
| 2 | 7.18 |